La3ZnAg: optimized geometry, PBE.

Summary:
As for the space group: Pm-3m (221). The value obtained for the energy above the lowest structure with this stoichiometry is 506.8 meV per atom. As for the raw total energy: -3.4924 eV per atom. Its density of states at the Fermi level is 1.71 states/eV per atom. The formation energy from the elements comes out at 0.2891 eV/atom.

a b c (Å): 5.699 5.699 5.699
angles (deg): 90.00 90.00 90.00
Positions (direct):
La1 0.500 0.000 0.000
La2 0.000 0.500 0.000
Ag1 0.500 0.500 0.500
Zn1 0.000 0.000 0.000
La3 0.000 0.000 0.500